## Ac2Cu15Pt2 (GGA-PBE)

Data for a geometry-optimized Ac2Cu15Pt2 structure.

Summary:
**V**: 290 Å³ per cell
**Energy relative to the elements**: -165 meV per atom
**N(E_F)**: 9.2 states/eV per cell

POSCAR file:
```
Ac2Cu15Pt2
1.0
-2.827 -5.291 2.890
3.190 0.504 5.823
-4.782 3.338 3.214
Ac Cu Pt
2 15 2
direct
0.340 0.340 0.340
0.660 0.660 0.660
0.500 0.000 0.000
0.000 0.000 0.500
0.000 0.500 0.000
0.000 0.714 0.286
0.714 0.286 0.000
0.286 0.000 0.714
0.286 0.714 0.000
0.714 0.000 0.286
0.000 0.286 0.714
0.154 0.658 0.658
0.658 0.658 0.154
0.658 0.154 0.658
0.846 0.342 0.342
0.342 0.342 0.846
0.342 0.846 0.342
0.106 0.106 0.106
0.894 0.894 0.894
```